A geometry-optimized LiLaGaCu2 structure. Source: Alexandria, functional PBE-GGA.

Geometry as CIF:
```
data_LiLaGaCu2
_cell_length_a 6.246
_cell_length_b 6.246
_cell_length_c 6.246
_cell_angle_alpha 141.50
_cell_angle_beta 141.50
_cell_angle_gamma 55.58
_space_group_name_H-M_alt 'P 1'
_space_group_IT_number 1
_space_group_name_Hall 'P 1'
loop_
_atom_site_label
_atom_site_type_symbol
_atom_site_fract_x
_atom_site_fract_y
_atom_site_fract_z
_atom_site_occupancy
Li1 Li 0.000 0.000 0.000 1
La1 La 0.250 0.750 0.500 1
Ga1 Ga 0.500 0.500 0.000 1
Cu1 Cu 0.637 0.137 0.500 1
Cu2 Cu 0.863 0.363 0.500 1
```

For the uncorrected energy, the calculation gives -19.4 eV/f.u.

---

A geometry-optimized VAg3N structure. Source: Alexandria, functional PBE-GGA.

Geometry as CIF:
```
data_VAg3N
_cell_length_a 5.128
_cell_length_b 5.128
_cell_length_c 5.128
_cell_angle_alpha 90.00
_cell_angle_beta 90.00
_cell_angle_gamma 90.00
_space_group_name_H-M_alt 'P 1'
_space_group_IT_number 1
_space_group_name_Hall 'P 1'
loop_
_atom_site_label
_atom_site_type_symbol
_atom_site_fract_x
_atom_site_fract_y
_atom_site_fract_z
_atom_site_occupancy
V1 V 0.000 0.000 0.000 1
Ag1 Ag 0.000 0.000 0.500 1
Ag2 Ag 0.000 0.500 0.000 1
Ag3 Ag 0.500 0.000 0.000 1
N1 N 0.500 0.500 0.500 1
```

For the uncorrected energy, the calculation gives -15.1 eV/f.u. Its formation energy from raw total energies is 2.170 eV per atom. For the relative energy among the computed polymorphs, the calculation gives 1213 meV/atom.

---

A geometry-optimized Pa2Mn2AlCo5 structure. Source: Alexandria, functional PBE-GGA.

Geometry as CIF:
```
data_Pa2Mn2AlCo5
_cell_length_a 8.557
_cell_length_b 8.557
_cell_length_c 3.888
_cell_angle_alpha 90.00
_cell_angle_beta 90.00
_cell_angle_gamma 90.00
_space_group_name_H-M_alt 'P 1'
_space_group_IT_number 1
_space_group_name_Hall 'P 1'
loop_
_atom_site_label
_atom_site_type_symbol
_atom_site_fract_x
_atom_site_fract_y
_atom_site_fract_z
_atom_site_occupancy
Pa1 Pa 0.157 0.343 0.000 1
Pa2 Pa 0.343 0.843 0.000 1
Pa3 Pa 0.657 0.157 0.000 1
Pa4 Pa 0.843 0.657 0.000 1
Mn1 Mn 0.154 0.654 0.000 1
Mn2 Mn 0.346 0.154 0.000 1
Mn3 Mn 0.654 0.846 0.000 1
Mn4 Mn 0.846 0.346 0.000 1
Al1 Al 0.000 0.000 0.000 1
Al2 Al 0.500 0.500 0.000 1
Co1 Co 0.000 0.500 0.500 1
Co2 Co 0.072 0.809 0.500 1
Co3 Co 0.191 0.072 0.500 1
Co4 Co 0.309 0.572 0.500 1
Co5 Co 0.428 0.309 0.500 1
Co6 Co 0.500 0.000 0.500 1
Co7 Co 0.572 0.691 0.500 1
Co8 Co 0.691 0.428 0.500 1
Co9 Co 0.809 0.928 0.500 1
Co10 Co 0.928 0.191 0.500 1
```

For the uncorrected energy, the calculation gives -78.3 eV/f.u.

---

A geometry-optimized Hf6PdPt3 structure. Source: Alexandria, functional PBE-GGA.

Geometry as CIF:
```
data_Hf6PdPt3
_cell_length_a 7.442
_cell_length_b 6.505
_cell_length_c 10.929
_cell_angle_alpha 90.00
_cell_angle_beta 129.01
_cell_angle_gamma 90.00
_space_group_name_H-M_alt 'P 1'
_space_group_IT_number 1
_space_group_name_Hall 'P 1'
loop_
_atom_site_label
_atom_site_type_symbol
_atom_site_fract_x
_atom_site_fract_y
_atom_site_fract_z
_atom_site_occupancy
Hf1 Hf 0.009 0.109 0.249 1
Hf2 Hf 0.009 0.391 0.749 1
Hf3 Hf 0.221 0.142 0.060 1
Hf4 Hf 0.221 0.358 0.560 1
Hf5 Hf 0.384 0.654 0.073 1
Hf6 Hf 0.384 0.846 0.573 1
Hf7 Hf 0.616 0.154 0.427 1
Hf8 Hf 0.616 0.346 0.927 1
Hf9 Hf 0.779 0.642 0.440 1
Hf10 Hf 0.779 0.858 0.940 1
Hf11 Hf 0.991 0.609 0.251 1
Hf12 Hf 0.991 0.891 0.751 1
Pd1 Pd 0.500 0.000 0.000 1
Pd2 Pd 0.500 0.500 0.500 1
Pt1 Pt 0.000 0.000 0.500 1
Pt2 Pt 0.000 0.500 0.000 1
Pt3 Pt 0.332 0.660 0.785 1
Pt4 Pt 0.332 0.840 0.285 1
Pt5 Pt 0.668 0.160 0.715 1
Pt6 Pt 0.668 0.340 0.215 1
```

For the uncorrected energy, the calculation gives -88.8 eV/f.u.